Pm2YP3Rh12 | PBE-GGA | relaxed

Properties
- space-group type = R-3m (166)
- raw total energy (eV/atom) = -7.039
- formation energy (eV/atom) = -0.350

Cell: 6.748 6.748 6.748 Å, 83.96 83.96 83.96°
Sites, in units of the cell vectors:
Pm (0.127, 0.127, 0.127)
Pm (0.873, 0.873, 0.873)
Y (0.500, 0.500, 0.500)
P (0.000, 0.500, 0.500)
P (0.500, 0.000, 0.500)
P (0.500, 0.500, 0.000)
Rh (0.133, 0.133, 0.590)
Rh (0.133, 0.590, 0.133)
Rh (0.164, 0.678, 0.678)
Rh (0.322, 0.322, 0.836)
Rh (0.322, 0.836, 0.322)
Rh (0.410, 0.867, 0.867)
Rh (0.590, 0.133, 0.133)
Rh (0.678, 0.164, 0.678)
Rh (0.678, 0.678, 0.164)
Rh (0.836, 0.322, 0.322)
Rh (0.867, 0.410, 0.867)
Rh (0.867, 0.867, 0.410)

=====

TbHoPb2 | PBE-GGA | relaxed

Properties
- space-group type = C2/c (15)
- raw total energy (eV/atom) = -4.596
- formation energy (eV/atom) = -0.440

Cell: 10.453 10.453 5.851 Å, 95.21 95.21 131.19°
Sites, in units of the cell vectors:
Tb (0.064, 0.936, 0.750)
Tb (0.312, 0.688, 0.750)
Tb (0.688, 0.312, 0.250)
Tb (0.936, 0.064, 0.250)
Ho (0.187, 0.813, 0.250)
Ho (0.439, 0.561, 0.250)
Ho (0.561, 0.439, 0.750)
Ho (0.813, 0.187, 0.750)
Pb (0.065, 0.440, 0.245)
Pb (0.188, 0.313, 0.753)
Pb (0.313, 0.188, 0.253)
Pb (0.440, 0.065, 0.745)
Pb (0.560, 0.935, 0.255)
Pb (0.687, 0.812, 0.747)
Pb (0.812, 0.687, 0.247)
Pb (0.935, 0.560, 0.755)

=====

CsZnGePSe | PBE-GGA | relaxed

Properties
- space-group type = Cm (8)
- raw total energy (eV/atom) = -3.395
- formation energy without anion corrections (eV per atom) = -0.27
- polymorph energy (0 for the lowest one) (eV/f.u.) = 1.02

Cell: 7.627 7.627 5.496 Å, 109.67 109.67 29.16°
Sites, in units of the cell vectors:
Cs (0.000, 0.000, 0.000)
Zn (0.260, 0.260, 0.889)
Ge (0.334, 0.334, 0.375)
P (0.720, 0.720, 0.282)
Se (0.662, 0.662, 0.632)

=====

LiTeCl2 | PBE-GGA | relaxed

Properties
- space-group type = P4mm (99)
- raw total energy (eV/atom) = -2.961
- formation energy without anion corrections (eV per atom) = -0.77
- polymorph energy (0 for the lowest one) (eV/f.u.) = 0.70

Cell: 3.351 3.351 8.113 Å, 90.00 90.00 90.00°
Sites, in units of the cell vectors:
Li (0.000, 0.000, 0.000)
Te (0.500, 0.500, 0.453)
Cl (0.000, 0.000, 0.713)
Cl (0.500, 0.500, 0.095)

=====

NdPH | PBE-GGA | relaxed

Properties
- space-group type = Pnma (62)
- raw total energy (eV/atom) = -5.326
- polymorph energy (0 for the lowest one) (eV/f.u.) = 0.00

Cell: 8.173 4.298 5.937 Å, 90.00 90.00 90.00°
Sites, in units of the cell vectors:
Nd (0.120, 0.250, 0.250)
Nd (0.380, 0.750, 0.750)
Nd (0.620, 0.250, 0.250)
Nd (0.880, 0.750, 0.750)
P (0.120, 0.250, 0.747)
P (0.380, 0.750, 0.247)
P (0.620, 0.250, 0.753)
P (0.880, 0.750, 0.253)
H (0.215, 0.750, 0.387)
H (0.285, 0.250, 0.887)
H (0.715, 0.750, 0.113)
H (0.785, 0.250, 0.613)

=====

Pm2ScGa | PBE-GGA | relaxed

Properties
- space-group type = Fm-3m (225)
- raw total energy (eV/atom) = -4.860
- formation energy (eV/atom) = -0.145
- polymorph energy (0 for the lowest one) (eV/f.u.) = 0.39

Cell: 5.307 5.307 5.307 Å, 60.00 60.00 60.00°
Sites, in units of the cell vectors:
Pm (0.250, 0.250, 0.250)
Pm (0.750, 0.750, 0.750)
Sc (0.000, 0.000, 0.000)
Ga (0.500, 0.500, 0.500)